A relaxed structure of Tb6PmPr3Nd2, computed with PBE.

Values from the calculation:
* raw total energy: -56.275 eV/f.u.
* total moment: 0.000 μB/atom

Cell lengths 6.2994, 6.2994, 11.9286 Å; angles 95.03, 95.03, 120.01 degrees
Last column: nearest neighbours and their distance in Å.
Atoms (fractional coordinates):
Tb 0.0839 0.4171 0.7511  2 Nd 3.60, 1 Pm 3.60, 3 Pr 3.62, 6 Tb 3.64
Tb 0.2498 0.2498 0.2490  1 Pm 3.60, 2 Nd 3.60, 3 Pr 3.62, 6 Tb 3.64
Tb 0.4171 0.0839 0.7511  2 Nd 3.60, 1 Pm 3.60, 3 Pr 3.62, 6 Tb 3.64
Tb 0.5829 0.9161 0.2489  2 Nd 3.60, 1 Pm 3.60, 3 Pr 3.62, 6 Tb 3.64
Tb 0.7502 0.7502 0.7510  1 Pm 3.60, 2 Nd 3.60, 3 Pr 3.62, 6 Tb 3.64
Tb 0.9161 0.5829 0.2489  2 Nd 3.60, 1 Pm 3.60, 3 Pr 3.62, 6 Tb 3.64
Pm 0.5000 0.5000 0.0000  6 Tb 3.60, 6 Nd 3.64
Pr 0.0000 0.0000 0.5000  6 Tb 3.62, 6 Pr 3.64
Pr 0.3333 0.6667 0.5000  6 Tb 3.62, 6 Pr 3.64
Pr 0.6667 0.3333 0.5000  6 Tb 3.62, 6 Pr 3.64
Nd 0.1666 0.8334 0.0000  6 Tb 3.60, 3 Nd 3.63-3.64, 3 Pm 3.64
Nd 0.8334 0.1666 0.0000  6 Tb 3.60, 3 Nd 3.63-3.64, 3 Pm 3.64